*one*
This record from Alexandria via LeMat-Bulk describes a geometry-optimized Sc4InBi2 structure. The functional is PBE.

```
Sc4InBi2
1.0
7.891 -1.170 -0.171
-1.735 7.786 0.171
-2.952 -3.425 6.560
Sc In Bi
8 2 4
Cartesian
6.095 -0.177 1.917 Sc
0.992 2.841 1.278 Sc
4.323 1.472 4.471 Sc
3.740 -2.802 4.407 Sc
1.874 -1.066 1.981 Sc
-0.190 -2.230 5.282 Sc
0.393 2.042 5.347 Sc
5.212 3.731 1.213 Sc
-0.805 3.835 3.365 In
0.000 0.000 0.000 In
2.067 -0.380 4.877 Bi
2.675 5.226 1.682 Bi
3.543 1.332 1.596 Bi
-1.879 0.206 4.963 Bi
```

Calculated values
Spin magnetization ... 0.000 μB/atom

=====

*two*
This record from Alexandria via LeMat-Bulk describes a geometry-optimized Sc4InBi2 structure. The functional is PBE.

```
Sc4InBi2
1.0
5.200 0.000 0.000
0.000 5.200 0.000
2.600 2.600 7.734
Sc Bi In
4 2 1
Cartesian
2.600 2.600 4.986 Sc
5.200 5.200 2.748 Sc
0.000 2.600 0.000 Sc
2.600 0.000 0.000 Sc
2.600 2.600 2.073 Bi
5.200 5.200 5.661 Bi
0.000 0.000 0.000 In
```

Calculated values
Spin magnetization ... 0.000 μB/atom

=====

Of them, the most stable is *one* and the least stable is *two*.

=====

*one*
This record from Alexandria via LeMat-Bulk describes a geometry-optimized Sc2In2Bi structure. The functional is PBE.

```
Sc2In2Bi
1.0
7.598 0.000 0.000
0.000 7.598 0.000
0.000 0.000 4.507
Sc Bi In
4 2 4
Cartesian
2.616 6.415 0.000 Sc
6.415 4.982 0.000 Sc
4.982 1.183 0.000 Sc
1.183 2.616 0.000 Sc
0.000 0.000 0.000 Bi
3.799 3.799 0.000 Bi
1.096 4.895 2.253 In
4.895 6.502 2.253 In
6.502 2.703 2.253 In
2.703 1.096 2.253 In
```

Calculated values
Spin magnetization ... 0.000 μB/atom

=====

*two*
This record from Alexandria via LeMat-Bulk describes a geometry-optimized Sc2In2Bi structure. The functional is PBE.

```
Sc2In2Bi
1.0
-4.600 -4.467 -5.556
6.342 -5.584 -0.762
-1.350 -1.894 2.641
Sc Bi In
4 2 4
Cartesian
2.806 -5.527 -0.184 Sc
1.421 -8.566 -3.072 Sc
-2.414 -6.418 -3.493 Sc
-1.029 -3.379 -0.605 Sc
0.000 0.000 0.000 Bi
0.871 -5.025 -3.159 Bi
3.830 -6.591 -2.769 In
-0.094 -7.395 -5.352 In
-2.088 -3.459 -3.549 In
1.836 -2.656 -0.966 In
```

Calculated values
Spin magnetization ... 0.000 μB/atom

=====

*three*
This record from Alexandria via LeMat-Bulk describes a geometry-optimized Sc2In2Bi structure. The functional is PBE.

```
Sc2In2Bi
1.0
-0.288 2.190 -4.087
2.889 -3.118 -1.875
-3.725 -4.146 -4.600
Sc Bi In
2 1 2
Cartesian
-1.357 -1.210 -5.834 Sc
0.232 -3.864 -4.728 Sc
0.000 0.000 0.000 Bi
0.232 -1.247 -3.325 In
-1.357 -3.827 -7.236 In
```

Calculated values
Spin magnetization ... 0.128 μB/atom

=====

Of them, the most stable is *one* and the least stable is *three*.

=====

*one*
This record from Alexandria via LeMat-Bulk describes a geometry-optimized InBi2Se2 structure. The functional is PBE.

```
InBi2Se2
1.0
4.560 0.000 0.000
0.000 4.560 0.000
2.280 2.280 7.467
Bi Se In
2 2 1
Cartesian
4.560 2.280 3.733 Bi
2.280 4.560 3.733 Bi
2.280 2.280 1.274 Se
4.560 4.560 6.193 Se
0.000 0.000 0.000 In
```

Calculated values
Spin magnetization ... 0.000 μB/atom

=====

*two*
This record from Alexandria via LeMat-Bulk describes a geometry-optimized InBi2Se2 structure. The functional is PBE.

```
InBi2Se2
1.0
-0.412 -7.811 3.809
6.788 2.092 5.023
-2.493 1.474 2.754
Bi Se In
4 4 2
Cartesian
5.394 -0.748 5.282 Bi
4.324 -4.919 6.547 Bi
0.982 -4.971 3.550 Bi
2.052 -0.799 2.285 Bi
3.114 0.916 5.228 Se
4.244 -2.577 8.121 Se
0.769 -5.161 6.359 Se
-0.361 -1.667 3.466 Se
0.000 0.000 0.000 In
3.188 -2.859 4.416 In
```

Calculated values
Spin magnetization ... 0.000 μB/atom

=====

Of them, the most stable is *two* and the least stable is *one*.